DFT (GGA-PBEsol) results for a geometry-optimized ScAgSe2 structure.

Cell lengths 8.3158, 8.3158, 8.3158 Å; angles 26.33, 26.33, 26.33 degrees
With the nearest neighbours (Å) after each atom.
Atoms (fractional coordinates):
Sc: 0.0000 0.0000 0.0000  2 Se 2.50
Ag: 0.5000 0.5000 0.5000  6 Se 2.66
Se: 0.1040 0.1040 0.1040  1 Sc 2.50, 3 Ag 2.66
Se: 0.8960 0.8960 0.8960  1 Sc 2.50, 3 Ag 2.66

Calculated values
**E_tot**: -18.118 eV per formula unit
**Uncorrected formation energy**: -12 kJ per mole of atoms
**Space-group type**: R-3m

=====

DFT (GGA-PBEsol) results for a geometry-optimized ScAgSe2 structure.

Cell lengths 4.7694, 4.7694, 4.7694 Å; angles 60.00, 60.00, 60.00 degrees
With the nearest neighbours (Å) after each atom.
Atoms (fractional coordinates):
Sc: 0.0000 0.0000 0.0000  4 Se 2.92, 4 Ag 2.92
Ag: 0.2500 0.2500 0.2500  4 Se 2.92, 4 Sc 2.92
Se: 0.5000 0.5000 0.5000  4 Se 2.92, 4 Ag 2.92
Se: 0.7500 0.7500 0.7500  4 Se 2.92, 4 Sc 2.92

Calculated values
**E_tot**: -19.025 eV per formula unit
**Uncorrected formation energy**: -34 kJ per mole of atoms
**Space-group type**: F-43m

=====

DFT (GGA-PBEsol) results for a geometry-optimized ScAgSe2 structure.

Cell lengths 3.8523, 3.8523, 6.4562 Å; angles 90.00, 90.00, 120.00 degrees
With the nearest neighbours (Å) after each atom.
Atoms (fractional coordinates):
Sc: 0.0000 0.0000 0.0000  6 Se 2.70
Ag: 0.0000 0.0000 0.5000  6 Se 2.79
Se: 0.3333 0.6667 0.2381  3 Sc 2.70, 3 Ag 2.79
Se: 0.6667 0.3333 0.7619  3 Sc 2.70, 3 Ag 2.79

Calculated values
**E_tot**: -22.003 eV per formula unit
**Uncorrected formation energy**: -106 kJ per mole of atoms
**Space-group type**: P-3m1